[1]
NaTbNd PBE relaxed; total magnetization = 0.00 μB per atom; crystal system = tetragonal; DFT total energy = -3.434 eV per atom; SG = No. 107; DOS(E_F) = 3.525 states/eV/cell; formation enthalpy at 0 K = 138 meV per atom; energy above the lowest structure with this stoichiometry = 27.1 meV/atom
1.0
-1.775 1.775 8.220
1.775 -1.775 8.220
1.775 1.775 -8.220
Na Tb Nd
1 1 1
direct
0.000 0.000 0.000
0.328 0.328 0.000
0.677 0.677 0.000

[2]
NaTbNd2 PBE relaxed; total magnetization = 0.00 μB per atom; crystal system = trigonal; DFT total energy = -3.743 eV per atom; SG = No. 166; DOS(E_F) = 4.730 states/eV/cell; formation enthalpy at 0 K = 128 meV per atom; energy above the lowest structure with this stoichiometry = 33.1 meV/atom
1.0
1.788 1.032 12.911
-1.788 1.032 12.911
0.000 -2.065 12.911
Na Tb Nd
1 1 2
direct
0.000 0.000 0.000
0.500 0.500 0.500
0.092 0.092 0.092
0.908 0.908 0.908

Copy entry 2 word for word.
NaTbNd2 PBE relaxed; total magnetization = 0.00 μB per atom; crystal system = trigonal; DFT total energy = -3.743 eV per atom; SG = No. 166; DOS(E_F) = 4.730 states/eV/cell; formation enthalpy at 0 K = 128 meV per atom; energy above the lowest structure with this stoichiometry = 33.1 meV/atom
1.0
1.788 1.032 12.911
-1.788 1.032 12.911
0.000 -2.065 12.911
Na Tb Nd
1 1 2
direct
0.000 0.000 0.000
0.500 0.500 0.500
0.092 0.092 0.092
0.908 0.908 0.908

Question: Number 2 is which compound?
Answer: NaTbNd2

Question: What is the DOS(E_F) in the second record?
Answer: 4.730 states/eV/cell

Question: Which value of DOS(E_F) does entry 2 give?
Answer: 4.730 states/eV/cell